Record 1
Below is a relaxed NdSm7Al4 crystal, with properties calculated at the PBE level.

Cell lengths 7.575, 7.575, 10.638 Å; angles 121.64, 121.64, 43.53 degrees
Atoms (fractional coordinates):
Nd1 0.000 0.000 0.000
Sm1 0.066 0.066 0.389
Sm2 0.208 0.208 0.878
Sm3 0.297 0.297 0.355
Sm4 0.500 0.500 0.000
Sm5 0.703 0.703 0.645
Sm6 0.792 0.792 0.122
Sm7 0.934 0.934 0.611
Al1 0.324 0.324 0.669
Al2 0.448 0.448 0.240
Al3 0.552 0.552 0.760
Al4 0.676 0.676 0.331

Summary:
E = -4.463 eV/atom
Magnetic moment = 0.34 μB per formula unit
ΔH_f (0 K) = -65 meV/atom
V = 346.9 Å³/cell

=====

Record 2
Below is a relaxed Nd8Sm6Al crystal, with properties calculated at the PBE level.

Cell lengths 9.460, 9.460, 6.554 Å; angles 90.00, 90.00, 120.00 degrees
Atoms (fractional coordinates):
Nd1 0.043 0.264 0.189
Nd2 0.221 0.957 0.189
Nd3 0.264 0.221 0.811
Nd4 0.333 0.667 0.147
Nd5 0.667 0.333 0.853
Nd6 0.736 0.779 0.189
Nd7 0.779 0.043 0.811
Nd8 0.957 0.736 0.811
Sm1 0.095 0.449 0.672
Sm2 0.354 0.905 0.672
Sm3 0.449 0.354 0.328
Sm4 0.551 0.646 0.672
Sm5 0.646 0.095 0.328
Sm6 0.905 0.551 0.328
Al1 0.000 0.000 0.500

Summary:
E = -4.598 eV/atom
Magnetic moment = 0.00 μB per formula unit
ΔH_f (0 K) = 82 meV/atom
V = 508.0 Å³/cell

=====

Record 3
Below is a relaxed Nd6Sm12Al crystal, with properties calculated at the PBE level.

Cell lengths 8.618, 8.618, 8.618 Å; angles 88.98, 88.98, 88.98 degrees
Atoms (fractional coordinates):
Nd1 0.206 0.594 0.758
Nd2 0.242 0.794 0.406
Nd3 0.406 0.242 0.794
Nd4 0.594 0.758 0.206
Nd5 0.758 0.206 0.594
Nd6 0.794 0.406 0.242
Sm1 0.036 0.282 0.936
Sm2 0.064 0.964 0.718
Sm3 0.142 0.321 0.483
Sm4 0.282 0.936 0.036
Sm5 0.321 0.483 0.142
Sm6 0.483 0.142 0.321
Sm7 0.517 0.858 0.679
Sm8 0.679 0.517 0.858
Sm9 0.718 0.064 0.964
Sm10 0.858 0.679 0.517
Sm11 0.936 0.036 0.282
Sm12 0.964 0.718 0.064
Al1 0.500 0.500 0.500

Summary:
E = -4.600 eV/atom
Magnetic moment = 0.00 μB per formula unit
ΔH_f (0 K) = 83 meV/atom
V = 639.7 Å³/cell

=====

Record 4
Below is a relaxed NdSm6Al2 crystal, with properties calculated at the PBE level.

Cell lengths 6.672, 6.672, 11.992 Å; angles 108.46, 108.46, 32.97 degrees
Atoms (fractional coordinates):
Nd1 0.000 0.000 0.000
Sm1 0.021 0.021 0.327
Sm2 0.310 0.310 0.125
Sm3 0.311 0.311 0.413
Sm4 0.689 0.689 0.587
Sm5 0.690 0.690 0.875
Sm6 0.979 0.979 0.673
Al1 0.350 0.350 0.791
Al2 0.650 0.650 0.209

Summary:
E = -4.649 eV/atom
Magnetic moment = 0.00 μB per formula unit
ΔH_f (0 K) = -141 meV/atom
V = 274.2 Å³/cell

=====

- Which formula does entry 3 have?
  Nd6Sm12Al

=====

Repeat the third record exactly.
Below is a relaxed Nd6Sm12Al crystal, with properties calculated at the PBE level.

Cell lengths 8.618, 8.618, 8.618 Å; angles 88.98, 88.98, 88.98 degrees
Atoms (fractional coordinates):
Nd1 0.206 0.594 0.758
Nd2 0.242 0.794 0.406
Nd3 0.406 0.242 0.794
Nd4 0.594 0.758 0.206
Nd5 0.758 0.206 0.594
Nd6 0.794 0.406 0.242
Sm1 0.036 0.282 0.936
Sm2 0.064 0.964 0.718
Sm3 0.142 0.321 0.483
Sm4 0.282 0.936 0.036
Sm5 0.321 0.483 0.142
Sm6 0.483 0.142 0.321
Sm7 0.517 0.858 0.679
Sm8 0.679 0.517 0.858
Sm9 0.718 0.064 0.964
Sm10 0.858 0.679 0.517
Sm11 0.936 0.036 0.282
Sm12 0.964 0.718 0.064
Al1 0.500 0.500 0.500

Summary:
E = -4.600 eV/atom
Magnetic moment = 0.00 μB per formula unit
ΔH_f (0 K) = 83 meV/atom
V = 639.7 Å³/cell

=====

Copy entry 1 word for word.
Below is a relaxed NdSm7Al4 crystal, with properties calculated at the PBE level.

Cell lengths 7.575, 7.575, 10.638 Å; angles 121.64, 121.64, 43.53 degrees
Atoms (fractional coordinates):
Nd1 0.000 0.000 0.000
Sm1 0.066 0.066 0.389
Sm2 0.208 0.208 0.878
Sm3 0.297 0.297 0.355
Sm4 0.500 0.500 0.000
Sm5 0.703 0.703 0.645
Sm6 0.792 0.792 0.122
Sm7 0.934 0.934 0.611
Al1 0.324 0.324 0.669
Al2 0.448 0.448 0.240
Al3 0.552 0.552 0.760
Al4 0.676 0.676 0.331

Summary:
E = -4.463 eV/atom
Magnetic moment = 0.34 μB per formula unit
ΔH_f (0 K) = -65 meV/atom
V = 346.9 Å³/cell